Density functional theory data (PBE-GGA) for a geometry-optimized Sr4Ga2H structure.

Results
E in eV/atom: -2.60
Offset from the most stable computed form in meV/atom: 1
Crystal system: monoclinic
Space group: P2_1/m, No. 11

abc: 7.6091 7.5870 8.0526
angles: 90.00 103.03 90.00
Fractional coordinates of all 14 atoms:
Sr 0.5243 0.5196 0.2644
Sr 0.1223 0.7500 0.9339
Sr 0.8777 0.2500 0.0661
Sr 0.5243 0.9804 0.2644
Sr 0.9536 0.2500 0.6263
Sr 0.4757 0.0196 0.7356
Sr 0.4757 0.4804 0.7356
Sr 0.0464 0.7500 0.3737
Ga 0.7239 0.7500 0.9927
Ga 0.2761 0.2500 0.0073
Ga 0.2369 0.2500 0.3631
Ga 0.7631 0.7500 0.6368
H 0.2978 0.7500 0.2246
H 0.7022 0.2500 0.7754